The following is a PBE calculation of a relaxed structure of Tm3AlAs2Rh9, from Alexandria via LeMat-Bulk.

Cell lengths 6.2352, 6.2352, 8.9518 Å; angles 90.00, 90.00, 120.00 degrees
Last column: nearest neighbours and their distance in Å.
Space group P-3m1 (No. 164)
Inequivalent atoms, fractional coordinates:
Tm: 0.0000 0.0000 0.0000 x1  12 Rh 2.88-3.12
Tm: 0.3333 0.6667 0.7346 x2  9 Rh 2.98-3.13
Al: 0.0000 0.0000 0.5000 x1  6 Rh 2.52
As: 0.3333 0.6667 0.1763 x2  6 Rh 2.27-2.39
Rh: 0.0000 0.5000 0.0000 x3  2 As 2.39
Rh: 0.1398 0.2796 0.2742 x6  1 As 2.27, 1 Al 2.52

As for the crystal system: trigonal. The value obtained for the calculated formation energy is -42.4 kJ per mole of atoms.